# PBE Tl3TeAs, relaxed
# Offset from the most stable computed form ... 0 meV per atom
# Total magnetization ... 0.0 Bohr magnetons per cell
# Energy relative to the elements, uncorrected ... -0.131 eV/atom
# Fermi-level density of states ... 2.0 states/eV/cell
data_Tl3TeAs
_space_group_name_H-M_alt 'P 1 21/m 1'
_space_group_IT_number 11
_space_group_name_Hall '-P 2yb'
_cell_length_a 8.736
_cell_length_b 4.293
_cell_length_c 9.106
_cell_angle_alpha 90.00
_cell_angle_beta 103.10
_cell_angle_gamma 90.00
loop_
_atom_site_label
_atom_site_type_symbol
_atom_site_fract_x
_atom_site_fract_y
_atom_site_fract_z
Tl1 Tl 0.068 0.250 0.193
Tl2 Tl 0.214 0.750 0.580
Tl3 Tl 0.412 0.750 0.152
Te1 Te 0.228 0.250 0.883
As1 As 0.442 0.250 0.425



# PBE SmScCu2Si2, relaxed
# Total magnetization ... 0.0 Bohr magnetons per cell
# Energy relative to the elements, uncorrected ... -0.655 eV/atom
# Fermi-level density of states ... 2.3 states/eV/cell
data_SmScCu2Si2
_space_group_name_H-M_alt 'P -3 m 1'
_space_group_IT_number 164
_space_group_name_Hall '-P 3 2"'
_cell_length_a 4.1482
_cell_length_b 4.1482
_cell_length_c 7.1169
_cell_angle_alpha 90.00
_cell_angle_beta 90.00
_cell_angle_gamma 120.00
loop_
_atom_site_label
_atom_site_type_symbol
_atom_site_fract_x
_atom_site_fract_y
_atom_site_fract_z
Sm1 Sm 0.0000 0.0000 0.0000
Sc1 Sc 0.0000 0.0000 0.5000
Cu1 Cu 0.3333 0.6667 0.7027
Si1 Si 0.3333 0.6667 0.2746



# PBE La2RePtRh, relaxed
# Energy of formation from the pure elements ... 0.677 eV per atom
# Total magnetization ... 2.9 Bohr magnetons per cell
# Fermi-level density of states ... 5.1 states/eV/cell
data_La2RePtRh
_space_group_name_H-M_alt 'P 4/m m m'
_space_group_IT_number 123
_space_group_name_Hall '-P 4 2'
_cell_length_a 5.321
_cell_length_b 5.321
_cell_length_c 4.906
_cell_angle_alpha 90.00
_cell_angle_beta 90.00
_cell_angle_gamma 90.00
loop_
_atom_site_label
_atom_site_type_symbol
_atom_site_fract_x
_atom_site_fract_y
_atom_site_fract_z
La1 La 0.000 0.500 0.000
Re1 Re 0.000 0.000 0.500
Pt1 Pt 0.500 0.500 0.500
Rh1 Rh 0.500 0.500 0.000



Please write out number 1 again, unchanged.
# PBE Tl3TeAs, relaxed
# Offset from the most stable computed form ... 0 meV per atom
# Total magnetization ... 0.0 Bohr magnetons per cell
# Energy relative to the elements, uncorrected ... -0.131 eV/atom
# Fermi-level density of states ... 2.0 states/eV/cell
data_Tl3TeAs
_space_group_name_H-M_alt 'P 1 21/m 1'
_space_group_IT_number 11
_space_group_name_Hall '-P 2yb'
_cell_length_a 8.736
_cell_length_b 4.293
_cell_length_c 9.106
_cell_angle_alpha 90.00
_cell_angle_beta 103.10
_cell_angle_gamma 90.00
loop_
_atom_site_label
_atom_site_type_symbol
_atom_site_fract_x
_atom_site_fract_y
_atom_site_fract_z
Tl1 Tl 0.068 0.250 0.193
Tl2 Tl 0.214 0.750 0.580
Tl3 Tl 0.412 0.750 0.152
Te1 Te 0.228 0.250 0.883
As1 As 0.442 0.250 0.425



- What is the formula in the first record?
  Tl3TeAs



- Among the records above, which one has the highest Fermi-level density of states?
  La2RePtRh